Material: SbAs2Cl
Method: DFT, PBE-GGA
State: optimized geometry

POSCAR file:
```
SbAs2Cl
1.0
-0.8563 -3.7459 3.7926
2.9540 -2.0220 -1.3302
4.6174 1.4799 2.5042
Sb As Cl
1 2 1
Direct
0.5000 0.7500 0.7500
0.0000 0.9195 0.9114
0.0000 0.5805 0.5886
0.5000 0.2500 0.2500
```

Computed properties:
* M_tot: 0.0 μB per cell
* E above lowest polymorph: 53 meV per atom
* E_form (uncorrected): -0.07 eV per atom

=====

Material: SbAs2Cl
Method: DFT, PBE-GGA
State: optimized geometry

POSCAR file:
```
SbAs2Cl
1.0
-2.5874 -0.3632 -2.5988
-0.4849 -3.4457 0.9643
-5.8580 2.1897 5.5263
Sb As Cl
1 2 1
Direct
0.5000 0.6290 0.7913
0.0000 0.1194 0.9759
0.5000 0.1098 0.1754
0.0000 0.6418 0.5573
```

Computed properties:
* M_tot: 0.0 μB per cell
* E above lowest polymorph: 125 meV per atom
* E_form (uncorrected): 0.00 eV per atom

=====

Material: Sb2AsCl
Method: DFT, PBE-GGA
State: optimized geometry

POSCAR file:
```
Sb2AsCl
1.0
-4.9917 6.0692 -1.1549
1.0228 -0.6524 -7.8495
-4.5837 0.5404 -4.6607
Sb As Cl
4 2 2
Direct
0.6566 0.1250 0.2500
0.0934 0.6250 0.2500
0.3750 0.3434 0.7500
0.8750 0.9066 0.7500
0.0000 0.0000 0.0000
0.7500 0.2500 0.5000
0.5000 0.5000 0.0000
0.2500 0.7500 0.5000
```

Computed properties:
* M_tot: 0.0 μB per cell
* E above lowest polymorph: 153 meV per atom
* E_form (uncorrected): 0.00 eV per atom

=====

Material: SbAs2Cl
Method: DFT, PBE-GGA
State: optimized geometry

POSCAR file:
```
SbAs2Cl
1.0
7.1366 0.0602 -0.0254
4.7726 5.3063 0.0254
-6.0272 -2.5221 2.8718
Sb As Cl
1 2 1
Direct
0.7663 0.2663 0.5000
0.0932 0.0932 0.0000
0.2083 0.7083 0.5000
0.4323 0.4323 0.0000
```

Computed properties:
* M_tot: 0.0 μB per cell
* E above lowest polymorph: 140 meV per atom
* E_form (uncorrected): 0.02 eV per atom

=====

What is the E_form (uncorrected) in the third record? 0.00 eV per atom